VASP calculation (PBE-GGA) on a relaxed structure of Mg5Ag6Sn.

Calculated values
As for the total energy: -0.0964 Ha/atom. The total magnetic moment is 0.00 μB per cell.

abc: 8.3704 14.0098 4.6493
angles: 90.00 123.56 90.00
Last column: nearest neighbours and their distance in Å.
Space group C2/m (No. 12)
Asymmetric unit:
Mg: 0.0000 0.0000 0.0000 x2  8 Ag 2.82-2.92
Mg: 0.0000 0.1691 0.5000 x4  8 Ag 2.85-2.88
Mg: 0.0000 0.3373 0.0000 x4  8 Ag 2.86-2.96
Ag: 0.2307 0.0000 0.7312 x4  6 Mg 2.82-2.95, 2 Sn 2.99
Ag: 0.2390 0.1715 0.2395 x8  7 Mg 2.85-2.96, 1 Sn 3.01
Sn: 0.0000 0.5000 0.5000 x2  8 Ag 2.99-3.01, 4 Mg 3.26